Entry P
{"formula": "Li3RhF6", "functional": "PBE", "state": "relaxed", "vol_a3_per_atom": 13.418, "space_group": "P-1", "lattice_angstrom": [[5.6518, -0.9442, 0.9854], [1.0360, 5.5761, 1.2884], [2.3001, 1.8271, 4.9565]], "species": ["Li", "Li", "Li", "Rh", "F", "F", "F", "F", "F", "F"], "frac_coords": [[0.0000, 0.0000, 0.5000], [0.5000, 0.0000, 0.0000], [0.5000, 0.5000, 0.0000], [0.0000, 0.0000, 0.0000], [0.2399, 0.7387, 0.0799], [0.7601, 0.2613, 0.9201], [0.7473, 0.8208, 0.4907], [0.2527, 0.1792, 0.5093], [0.7584, 0.7755, 0.9847], [0.2416, 0.2245, 0.0153]]}


Entry Q
{"formula": "Li3RhF6", "functional": "PBE", "state": "relaxed", "vol_a3_per_atom": 11.026, "space_group": "C2/m", "dos_at_fermi_per_ev_atom": 0.00, "lattice_angstrom": [[4.9876, 0.1560, 0.1102], [2.5198, 4.9579, 0.1539], [2.5198, 1.8020, 4.6214]], "species": ["Li", "Li", "Li", "Rh", "F", "F", "F", "F", "F", "F"], "frac_coords": [[0.3189, 0.2529, 0.2529], [0.6811, 0.7471, 0.7471], [0.0000, 0.0000, 0.0000], [0.5000, 0.5000, 0.5000], [0.3401, 0.1585, 0.6630], [0.6599, 0.3370, 0.8415], [0.6599, 0.8415, 0.3370], [0.3401, 0.6630, 0.1585], [0.0850, 0.7253, 0.7253], [0.9150, 0.2747, 0.2747]]}


Entry R
{"formula": "Li3RhF6", "functional": "PBE", "state": "relaxed", "vol_a3_per_atom": 12.180, "space_group": "Fm-3m", "dos_at_fermi_per_ev_atom": 0.00, "lattice_angstrom": [[0.0000, 3.9343, 3.9343], [3.9343, 0.0000, 3.9343], [3.9343, 3.9343, 0.0000]], "species": ["Li", "Li", "Li", "Rh", "F", "F", "F", "F", "F", "F"], "frac_coords": [[0.7500, 0.7500, 0.7500], [0.2500, 0.2500, 0.2500], [0.5000, 0.5000, 0.5000], [0.0000, 0.0000, 0.0000], [0.2524, 0.7476, 0.2524], [0.7476, 0.2524, 0.2524], [0.7476, 0.2524, 0.7476], [0.2524, 0.2524, 0.7476], [0.7476, 0.7476, 0.2524], [0.2524, 0.7476, 0.7476]]}


It turns out entry Q is the most stable, with the second structure 0.069 eV/atom higher.


Entry P
{"formula": "Li3RhF6", "functional": "PBE", "state": "relaxed", "vol_a3_per_atom": 14.096, "space_group": "P-1", "lattice_angstrom": [[-1.0222, -4.1797, -3.1350], [5.4343, -0.1591, -1.0100], [-1.7280, -1.8203, 5.0054]], "species": ["Li", "Li", "Li", "Rh", "F", "F", "F", "F", "F", "F"], "frac_coords": [[0.0000, 0.5000, 0.5000], [0.5000, 0.0000, 0.0000], [0.5000, 0.5000, 0.0000], [0.0000, 0.0000, 0.0000], [0.2448, 0.1648, 0.8617], [0.7552, 0.8352, 0.1383], [0.7573, 0.7421, 0.6251], [0.2427, 0.2579, 0.3749], [0.7779, 0.2994, 0.0990], [0.2221, 0.7006, 0.9010]]}


Entry Q
{"formula": "Li3RhF6", "functional": "PBE", "state": "relaxed", "vol_a3_per_atom": 11.146, "space_group": "R-3", "dos_at_fermi_per_ev_atom": 0.00, "lattice_angstrom": [[-3.0200, 5.2393, -0.4545], [-0.5187, -0.9409, -5.9684], [-5.1623, -3.0102, 1.0322]], "species": ["Li", "Li", "Li", "Li", "Li", "Li", "Rh", "Rh", "F", "F", "F", "F", "F", "F", "F", "F", "F", "F", "F", "F"], "frac_coords": [[0.4466, 0.9348, 0.7496], [0.9348, 0.7496, 0.4466], [0.2504, 0.5534, 0.0652], [0.7496, 0.4466, 0.9348], [0.0652, 0.2504, 0.5534], [0.5534, 0.0652, 0.2504], [0.0000, 0.0000, 0.0000], [0.5000, 0.5000, 0.5000], [0.3094, 0.9169, 0.0821], [0.0831, 0.9179, 0.6906], [0.6044, 0.8125, 0.4582], [0.9179, 0.6906, 0.0831], [0.4582, 0.6044, 0.8125], [0.1875, 0.5418, 0.3956], [0.8125, 0.4582, 0.6044], [0.5418, 0.3956, 0.1875], [0.0821, 0.3094, 0.9169], [0.3956, 0.1875, 0.5418], [0.9169, 0.0821, 0.3094], [0.6906, 0.0831, 0.9179]]}


It turns out entry Q is the most stable, with the second structure 0.108 eV/atom higher.